Record 1
## RbCa2LaAg (PBE-GGA)

Data for RbCa2LaAg after structural relaxation.

As for the total DFT energy (no corrections): -9.8 eV per cell. For the density of states at the Fermi level, the calculation gives 6.73 states/eV/cell. The magnetization comes out at 0.8 Bohr magnetons per cell. Its formation energy is 590 meV/atom.

The space group is P4/mmm (No. 123) and the conventional cell measures 6.6332, 6.6332 and 5.6814 Å, with angles of 90.00, 90.00 and 90.00 degrees. The asymmetric unit holds Rb at (0.0000, 0.0000, 0.0000), Ca at (0.0000, 0.5000, 0.5000), La at (0.5000, 0.5000, 0.5000) and Ag at (0.5000, 0.5000, 0.0000).

=====

Record 2
## CaLa2AgRh (PBE-GGA)

Data for CaLa2AgRh after structural relaxation.

As for the total DFT energy (no corrections): -23.4 eV per cell. For the density of states at the Fermi level, the calculation gives 3.55 states/eV/cell. The magnetization comes out at 0.0 Bohr magnetons per cell. Its formation energy is -268 meV/atom.

The space group is P4/mmm (No. 123) and the conventional cell measures 5.4528, 5.4528 and 5.6405 Å, with angles of 90.00, 90.00 and 90.00 degrees. The asymmetric unit holds Ca at (0.0000, 0.0000, 0.0000), La at (0.0000, 0.5000, 0.5000), Ag at (0.5000, 0.5000, 0.0000) and Rh at (0.0000, 0.0000, 0.5000).

=====

Record 3
## CaLaAgRh (PBE-GGA)

Data for CaLaAgRh after structural relaxation.

As for the total DFT energy (no corrections): -75.1 eV per cell. For the density of states at the Fermi level, the calculation gives 9.33 states/eV/cell. The magnetization comes out at 0.0 Bohr magnetons per cell. Its formation energy is -410 meV/atom.

The space group is F-43m (No. 216) and the conventional cell measures 7.2656, 7.2656 and 7.2656 Å, with angles of 90.00, 90.00 and 90.00 degrees. The asymmetric unit holds Ca at (0.0000, 0.0000, 0.0000), La at (0.0000, 0.0000, 0.5000), Ag at (0.2500, 0.2500, 0.2500) and Rh at (0.2500, 0.2500, 0.7500).

=====

Record 4
## CaLaAgRu (PBE-GGA)

Data for CaLaAgRu after structural relaxation.

As for the total DFT energy (no corrections): -77.6 eV per cell. For the density of states at the Fermi level, the calculation gives 9.74 states/eV/cell. The magnetization comes out at 0.0 Bohr magnetons per cell. Its formation energy is -85 meV/atom.

The space group is F-43m (No. 216) and the conventional cell measures 7.2300, 7.2300 and 7.2300 Å, with angles of 90.00, 90.00 and 90.00 degrees. The asymmetric unit holds Ca at (0.0000, 0.0000, 0.0000), La at (0.0000, 0.0000, 0.5000), Ag at (0.2500, 0.2500, 0.2500) and Ru at (0.2500, 0.2500, 0.7500).

=====

Record 5
## Ca2LaAgRu (PBE-GGA)

Data for Ca2LaAgRu after structural relaxation.

As for the total DFT energy (no corrections): -21.1 eV per cell. For the density of states at the Fermi level, the calculation gives 3.49 states/eV/cell. The magnetization comes out at 0.0 Bohr magnetons per cell. Its formation energy is -16 meV/atom.

The space group is P4/mmm (No. 123) and the conventional cell measures 5.5538, 5.5538 and 5.1807 Å, with angles of 90.00, 90.00 and 90.00 degrees. The asymmetric unit holds Ca at (0.0000, 0.5000, 0.0000), La at (0.0000, 0.0000, 0.5000), Ag at (0.5000, 0.5000, 0.5000) and Ru at (0.0000, 0.0000, 0.0000).

=====

Record 6
## CaLa2AgRu (PBE-GGA)

Data for CaLa2AgRu after structural relaxation.

As for the total DFT energy (no corrections): -24.2 eV per cell. For the density of states at the Fermi level, the calculation gives 5.63 states/eV/cell. The magnetization comes out at 0.0 Bohr magnetons per cell. Its formation energy is -38 meV/atom.

The space group is P4/mmm (No. 123) and the conventional cell measures 5.2964, 5.2964 and 5.6266 Å, with angles of 90.00, 90.00 and 90.00 degrees. The asymmetric unit holds Ca at (0.0000, 0.0000, 0.0000), La at (0.0000, 0.5000, 0.5000), Ag at (0.5000, 0.5000, 0.0000) and Ru at (0.5000, 0.5000, 0.5000).

=====

Record 7
## CaLa2AgRu (PBE-GGA)

Data for CaLa2AgRu after structural relaxation.

As for the total DFT energy (no corrections): -24.6 eV per cell. For the density of states at the Fermi level, the calculation gives 3.73 states/eV/cell. The magnetization comes out at 0.0 Bohr magnetons per cell. Its formation energy is -114 meV/atom.

The space group is P4/mmm (No. 123) and the conventional cell measures 5.3366, 5.3366 and 5.6979 Å, with angles of 90.00, 90.00 and 90.00 degrees. The asymmetric unit holds Ca at (0.0000, 0.0000, 0.0000), La at (0.0000, 0.5000, 0.5000), Ag at (0.5000, 0.5000, 0.0000) and Ru at (0.0000, 0.0000, 0.5000).

=====

Record 8
## CaLa2Ag2Sn2 (PBE-GGA)

Data for CaLa2Ag2Sn2 after structural relaxation.

As for the total DFT energy (no corrections): -86.3 eV per cell. For the density of states at the Fermi level, the calculation gives 9.31 states/eV/cell. The magnetization comes out at 0.0 Bohr magnetons per cell. Its formation energy is -458 meV/atom.

The space group is R-3m (No. 166, hexagonal axes) and the conventional cell measures 4.8591, 4.8591 and 28.9493 Å, with angles of 90.00, 90.00 and 120.00 degrees. The asymmetric unit holds Ca at (0.0000, 0.0000, 0.0000), La at (0.0000, 0.0000, 0.1288), Ag at (0.0000, 0.0000, 0.3980) and Sn at (0.0000, 0.0000, 0.2607).

=====

Record 9
## SrCa2LaAg (PBE-GGA)

Data for SrCa2LaAg after structural relaxation.

As for the total DFT energy (no corrections): -13.5 eV per cell. For the density of states at the Fermi level, the calculation gives 5.39 states/eV/cell. The magnetization comes out at 0.0 Bohr magnetons per cell. Its formation energy is -2 meV/atom.

The space group is P4/mmm (No. 123) and the conventional cell measures 5.9367, 5.9367 and 5.9024 Å, with angles of 90.00, 90.00 and 90.00 degrees. The asymmetric unit holds Sr at (0.0000, 0.0000, 0.0000), Ca at (0.0000, 0.5000, 0.5000), La at (0.5000, 0.5000, 0.0000) and Ag at (0.5000, 0.5000, 0.5000).

=====

Record 10
## CaLaTa2Ag (PBE-GGA)

Data for CaLaTa2Ag after structural relaxation.

As for the total DFT energy (no corrections): -27.7 eV per cell. For the density of states at the Fermi level, the calculation gives 7.61 states/eV/cell. The magnetization comes out at 0.0 Bohr magnetons per cell. Its formation energy is 1159 meV/atom.

The space group is P4/mmm (No. 123) and the conventional cell measures 5.1291, 5.1291 and 5.2954 Å, with angles of 90.00, 90.00 and 90.00 degrees. The asymmetric unit holds Ca at (0.0000, 0.0000, 0.0000), La at (0.5000, 0.5000, 0.0000), Ta at (0.0000, 0.5000, 0.5000) and Ag at (0.0000, 0.0000, 0.5000).

=====

Record 11
## CaLaTlAg (PBE-GGA)

Data for CaLaTlAg after structural relaxation.

As for the total DFT energy (no corrections): -54.8 eV per cell. For the density of states at the Fermi level, the calculation gives 12.35 states/eV/cell. The magnetization comes out at 0.0 Bohr magnetons per cell. Its formation energy is -387 meV/atom.

The space group is F-43m (No. 216) and the conventional cell measures 7.7109, 7.7109 and 7.7109 Å, with angles of 90.00, 90.00 and 90.00 degrees. The asymmetric unit holds Ca at (0.0000, 0.0000, 0.0000), La at (0.0000, 0.0000, 0.5000), Tl at (0.2500, 0.2500, 0.2500) and Ag at (0.2500, 0.2500, 0.7500).

=====

Record 12
## LiCa3Ag8 (PBE-GGA)

Data for LiCa3Ag8 after structural relaxation.

As for the total DFT energy (no corrections): -100.2 eV per cell. For the density of states at the Fermi level, the calculation gives 23.88 states/eV/cell. The magnetization comes out at 0.0 Bohr magnetons per cell. Its formation energy is -222 meV/atom.

The space group is R3m (No. 160, hexagonal axes) and the conventional cell measures 5.7104, 5.7104 and 27.9828 Å, with angles of 90.00, 90.00 and 120.00 degrees. The asymmetric unit holds Li at (0.0000, 0.0000, 0.0000), Ca at (0.0000, 0.0000, 0.3641), Ca at (0.0000, 0.0000, 0.4929), Ca at (0.0000, 0.0000, 0.8776), Ag at (0.0000, 0.0000, 0.1821), Ag at (0.0000, 0.0000, 0.6818), Ag at (0.9998, 0.4999, 0.4315) and Ag at (0.1676, 0.3351, 0.2657).